# 1
{"formula": "Tl3ICl", "functional": "SCAN", "state": "PBEsol geometry", "lattice": [[-0.752, -4.927, -3.867], [4.484, -3.143, 3.132], [-4.373, -2.375, 3.877]], "species": ["I", "Tl", "Tl", "Tl", "Cl"], "fractional_positions": [[0.000, 0.000, 0.000], [0.000, 0.500, 0.000], [0.000, 0.000, 0.500], [0.500, 0.000, 0.000], [0.500, 0.500, 0.500]], "m_tot_mub_per_fu": 0.00, "e_form_raw_ev_per_atom": -0.06, "density_g_cm3": 5.1}

# 2
{"formula": "Mn2TlRu", "functional": "SCAN", "state": "PBEsol geometry", "lattice": [[3.991, 0.000, 0.000], [0.000, 3.991, 0.000], [-1.996, -1.996, 3.785]], "species": ["Mn", "Mn", "Ru", "Tl"], "fractional_positions": [[0.000, 0.000, 0.000], [0.750, 0.250, 0.500], [0.500, 0.500, 0.000], [0.250, 0.750, 0.500]], "de_polymorph_mev_per_atom": 103, "m_tot_mub_per_fu": 7.78, "formation_enthalpy_0k_ev_per_fu": 0.6, "density_g_cm3": 11.4}

# 3
{"formula": "Sr2SeCl", "functional": "SCAN", "state": "PBEsol geometry", "lattice": [[3.769, 0.000, 0.000], [0.000, 5.199, 0.000], [0.000, 0.000, 5.209]], "species": ["Sr", "Sr", "Se", "Cl"], "fractional_positions": [[0.000, 0.000, 0.000], [0.000, 0.500, 0.500], [0.500, 0.000, 0.500], [0.500, 0.500, 0.000]], "de_polymorph_mev_per_atom": 215, "m_tot_mub_per_fu": 0.00, "e_form_raw_ev_per_atom": -1.79, "density_g_cm3": 4.7}

# 4
{"formula": "MnCu2Ir", "functional": "SCAN", "state": "PBEsol geometry", "lattice": [[2.732, 0.000, 0.000], [-1.366, 4.236, -0.088], [0.000, -0.887, 4.307]], "species": ["Cu", "Cu", "Ir", "Mn"], "fractional_positions": [[0.000, 0.999, 0.982], [0.252, 0.504, 0.771], [0.498, 0.996, 0.481], [0.750, 0.500, 0.265]], "m_tot_mub_per_fu": 3.95, "formation_enthalpy_0k_ev_per_fu": -0.3, "density_g_cm3": 12.5}

# 5
{"formula": "CuMoAu2", "functional": "SCAN", "state": "PBEsol geometry", "lattice": [[-2.585, 0.792, -0.301], [-1.092, -1.998, 4.127], [2.837, 4.720, 0.344]], "species": ["Au", "Au", "Cu", "Mo"], "fractional_positions": [[0.996, 0.996, 0.991], [0.772, 0.272, 0.544], [0.502, 0.502, 0.005], [0.230, 0.730, 0.460]], "de_polymorph_mev_per_atom": 101, "m_tot_mub_per_fu": 0.00, "formation_enthalpy_0k_ev_per_fu": 1.1, "density_g_cm3": 14.9}

# 6
{"formula": "CdCu2Re", "functional": "SCAN", "state": "PBEsol geometry", "lattice": [[-2.714, 0.034, -0.130], [-1.437, -2.051, 1.056], [-1.703, 3.562, 8.097]], "species": ["Cd", "Cu", "Cu", "Re"], "fractional_positions": [[0.000, 0.000, 0.000], [0.246, 0.246, 0.261], [0.754, 0.754, 0.739], [0.500, 0.500, 0.500]], "m_tot_mub_per_fu": 0.00, "formation_enthalpy_0k_ev_per_fu": 1.1, "density_g_cm3": 12.5}

# 7
{"formula": "Cu2SiTe", "functional": "SCAN", "state": "PBEsol geometry", "lattice": [[3.560, 0.000, 0.000], [0.000, 4.344, 0.053], [0.000, -0.994, 4.229]], "species": ["Cu", "Cu", "Si", "Te"], "fractional_positions": [[0.000, 0.500, 0.000], [0.000, 0.000, 0.500], [0.500, 0.000, 0.000], [0.500, 0.500, 0.500]], "de_polymorph_mev_per_atom": 0, "m_tot_mub_per_fu": 0.00, "e_form_raw_ev_per_atom": 0.49, "density_g_cm3": 7.2}

# 8
{"formula": "Cr2CdTc2", "functional": "SCAN", "state": "PBEsol geometry", "lattice": [[-3.706, 1.239, -0.940], [-0.936, -3.717, -1.208], [0.841, 0.171, 5.505]], "species": ["Cr", "Cr", "Tc", "Tc", "Cd"], "fractional_positions": [[0.379, 0.379, 0.759], [0.621, 0.621, 0.241], [0.250, 0.750, 0.500], [0.750, 0.250, 0.500], [0.000, 0.000, 0.000]], "m_tot_mub_per_fu": 0.00, "formation_enthalpy_0k_ev_per_fu": 2.2, "density_g_cm3": 8.8}

# 9
{"formula": "LaNi2Br", "functional": "SCAN", "state": "PBEsol geometry", "lattice": [[-1.609, 2.039, -2.687], [2.037, -1.786, -2.575], [-4.237, -4.055, -0.539]], "species": ["Br", "La", "Ni", "Ni"], "fractional_positions": [[0.500, 0.500, 0.000], [0.500, 0.500, 0.500], [0.000, 0.000, 0.697], [0.000, 0.000, 0.303]], "m_tot_mub_per_fu": 0.06, "e_form_raw_ev_per_atom": -0.11, "density_g_cm3": 6.8}

# 10
{"formula": "RbI", "functional": "SCAN", "state": "PBEsol geometry", "lattice": [[-3.511, 3.009, 2.261], [-0.643, -0.183, 5.104], [1.504, 3.958, 2.927]], "species": ["I", "Rb"], "fractional_positions": [[0.500, 0.500, 0.500], [0.000, 0.000, 0.000]], "m_tot_mub_per_fu": 0.00, "e_form_raw_ev_per_atom": -1.67, "density_g_cm3": 3.7}

# 11
{"formula": "MnBe12", "functional": "SCAN", "state": "PBEsol geometry", "lattice": [[-2.548, -2.428, 2.080], [-3.326, -2.771, -3.292], [2.091, -4.958, 0.792]], "species": ["Be", "Be", "Be", "Be", "Be", "Be", "Be", "Be", "Be", "Be", "Be", "Be", "Mn"], "fractional_positions": [[0.500, 0.000, 0.500], [0.000, 0.000, 0.500], [0.500, 0.500, 0.000], [0.000, 0.500, 0.000], [0.000, 0.653, 0.347], [0.000, 0.347, 0.653], [0.653, 0.347, 0.347], [0.347, 0.653, 0.653], [0.500, 0.209, 0.791], [0.500, 0.791, 0.209], [0.709, 0.791, 0.791], [0.291, 0.209, 0.209], [0.000, 0.000, 0.000]], "m_tot_mub_per_fu": 1.82, "formation_enthalpy_0k_ev_per_fu": -0.9, "density_g_cm3": 2.6}

# 12
{"formula": "ScAl3Co", "functional": "SCAN", "state": "PBEsol geometry", "lattice": [[-3.380, 2.905, -2.272], [0.669, -2.547, -4.253], [-3.627, -3.177, 1.333]], "species": ["Sc", "Co", "Al", "Al", "Al"], "fractional_positions": [[0.000, 0.000, 0.000], [0.500, 0.500, 0.500], [0.000, 0.500, 0.000], [0.000, 0.000, 0.500], [0.500, 0.000, 0.000]], "m_tot_mub_per_fu": 0.81, "formation_enthalpy_0k_ev_per_fu": 7.6, "density_g_cm3": 2.5}